# SrYB6C6

An optimized crystal structure of SrYB6C6 (PBE-GGA, Alexandria).

Properties
- Formation energy: -0.001 eV per atom
- Electronic total energy: -7.40 eV per atom
- Magnetization: 0.000 μB/atom

Unit cell a=4.8484 b=4.8484 c=4.8484 alpha=90.00 beta=90.00 gamma=90.00
Last column: nearest neighbours and their distance in Å.
Atoms (fractional coordinates):
Sr 0.0000 0.0000 0.0000  12 B 2.71, 12 C 2.72
Y 0.5000 0.5000 0.5000  12 C 2.70, 12 B 2.71
B 0.2508 0.5000 0.0000  4 C 1.69-1.73
B 0.7492 0.5000 0.0000  4 C 1.69-1.73
B 0.5000 0.0000 0.2508  4 C 1.69-1.73
B 0.5000 0.0000 0.7492  4 C 1.69-1.73
B 0.0000 0.2508 0.5000  4 C 1.69-1.73
B 0.0000 0.7492 0.5000  4 C 1.69-1.73
C 0.2549 0.0000 0.5000  4 B 1.69-1.73
C 0.7451 0.0000 0.5000  4 B 1.69-1.73
C 0.0000 0.5000 0.2549  4 B 1.69-1.73
C 0.0000 0.5000 0.7451  4 B 1.69-1.73
C 0.5000 0.2549 0.0000  4 B 1.69-1.73
C 0.5000 0.7451 0.0000  4 B 1.69-1.73